Below is a geometry-optimized Er5GeP4 structure, with properties calculated at the PBE level.

The value obtained for the calculated density is 7.6 g/cm³. Its volume is 22.5 Å³/atom. The energy of formation from the pure elements comes out at -1396 meV/atom.

It has space group I4/m (No. 87), with a = 8.929 Å, b = 8.929 Å, c = 5.644 Å, α = 90.00°, β = 90.00° and γ = 90.00°. Symmetry generates all atoms from Er at (0.000, 0.000, 0.000), Er at (0.104, 0.693, 0.500), Ge at (0.000, 0.000, 0.500) and P at (0.101, 0.700, 0.000).